No. 1
## Na3YNp2Se6 (PBE-GGA)

Data for a geometry-optimized Na3YNp2Se6 structure.

Computed properties:
- Total magnetization: 8.000 μB/f.u.
- DOS(E_F): 1.822 states/eV/atom
- Symmetry: C2/m
- Formation energy from raw total energies: -1.3620 eV per atom

Structure (POSCAR):
```
Na3YNp2Se6
1.0
3.620 -6.271 0.000
3.620 6.271 0.000
-2.413 0.000 6.991
Na Y Np Se
3 1 2 6
direct
0.000 0.000 0.000
0.334 0.666 0.000
0.666 0.334 0.000
0.500 0.500 0.500
0.167 0.833 0.500
0.833 0.167 0.500
0.091 0.423 0.269
0.245 0.245 0.731
0.423 0.091 0.269
0.577 0.909 0.731
0.755 0.755 0.269
0.909 0.577 0.731
```

No. 2
## Na3Y3NpSe8 (PBE-GGA)

Data for a geometry-optimized Na3Y3NpSe8 structure.

Computed properties:
- Total magnetization: 3.000 μB/f.u.
- DOS(E_F): 0.250 states/eV/atom
- Symmetry: C2/m
- Formation energy from raw total energies: -1.5732 eV per atom

Structure (POSCAR):
```
Na3Y3NpSe8
1.0
7.184 -4.148 0.000
7.184 4.148 0.000
-4.782 0.000 7.045
Na Y Np Se
3 3 1 8
direct
0.000 0.000 0.000
0.000 0.500 0.000
0.500 0.000 0.000
0.000 0.500 0.500
0.500 0.000 0.500
0.500 0.500 0.500
0.000 0.000 0.500
0.239 0.239 0.724
0.239 0.745 0.724
0.255 0.761 0.276
0.257 0.257 0.270
0.743 0.743 0.730
0.745 0.239 0.724
0.761 0.255 0.276
0.761 0.761 0.276
```

No. 3
## Na3Y2NpSe6 (PBE-GGA)

Data for a geometry-optimized Na3Y2NpSe6 structure.

Computed properties:
- Total magnetization: 4.000 μB/f.u.
- DOS(E_F): 0.577 states/eV/atom
- Symmetry: C2/m
- Formation energy from raw total energies: -1.5307 eV per atom

Structure (POSCAR):
```
Na3Y2NpSe6
1.0
3.618 -6.258 0.000
3.618 6.258 0.000
-2.404 0.000 7.002
Na Y Np Se
3 2 1 6
direct
0.000 0.000 0.000
0.333 0.667 0.000
0.667 0.333 0.000
0.166 0.834 0.500
0.834 0.166 0.500
0.500 0.500 0.500
0.086 0.423 0.269
0.240 0.240 0.732
0.423 0.086 0.269
0.577 0.914 0.731
0.760 0.760 0.268
0.914 0.577 0.731
```

No. 4
## Na3Np3ZnSe8 (PBE-GGA)

Data for a geometry-optimized Na3Np3ZnSe8 structure.

Computed properties:
- Total magnetization: 10.000 μB/f.u.
- DOS(E_F): 1.928 states/eV/atom
- Symmetry: C2/m
- Formation energy from raw total energies: -1.0401 eV per atom

Structure (POSCAR):
```
Na3Np3ZnSe8
1.0
7.081 -4.098 0.000
7.081 4.098 0.000
-4.718 0.000 7.016
Na Np Zn Se
3 3 1 8
direct
0.000 0.000 0.000
0.000 0.500 0.000
0.500 0.000 0.000
0.000 0.500 0.500
0.500 0.000 0.500
0.500 0.500 0.500
0.000 0.000 0.500
0.233 0.233 0.717
0.237 0.746 0.719
0.254 0.763 0.281
0.256 0.256 0.268
0.744 0.744 0.732
0.746 0.237 0.719
0.763 0.254 0.281
0.767 0.767 0.283
```

No. 5
## Na2ZrNp2Se6 (PBE-GGA)

Data for a geometry-optimized Na2ZrNp2Se6 structure.

Computed properties:
- Total magnetization: 8.001 μB/f.u.
- DOS(E_F): 2.006 states/eV/atom
- Symmetry: C2/m
- Formation energy from raw total energies: -1.2328 eV per atom

Structure (POSCAR):
```
Na2ZrNp2Se6
1.0
3.525 -6.058 0.000
3.525 6.058 0.000
-2.342 0.000 7.091
Na Zr Np Se
2 1 2 6
direct
0.169 0.831 0.000
0.831 0.169 0.000
0.000 0.000 0.500
0.334 0.666 0.500
0.666 0.334 0.500
0.076 0.396 0.725
0.243 0.243 0.275
0.396 0.076 0.725
0.604 0.924 0.275
0.757 0.757 0.725
0.924 0.604 0.275
```

No. 6
## Na2ZrNpSe4 (PBE-GGA)

Data for a geometry-optimized Na2ZrNpSe4 structure.

Computed properties:
- Total magnetization: 4.776 μB/f.u.
- DOS(E_F): 1.313 states/eV/atom
- Symmetry: P2/m
- Formation energy from raw total energies: -1.2456 eV per atom

Structure (POSCAR):
```
Na2ZrNpSe4
1.0
6.948 0.000 0.000
0.000 4.011 0.000
-2.306 0.000 7.106
Na Zr Np Se
2 1 1 4
direct
0.000 0.000 0.000
0.500 0.500 0.000
0.000 0.500 0.500
0.500 0.000 0.500
0.231 0.000 0.727
0.243 0.500 0.268
0.757 0.500 0.732
0.769 0.000 0.273
```

No. 7
## Na3ZrNp2Se6 (PBE-GGA)

Data for a geometry-optimized Na3ZrNp2Se6 structure.

Computed properties:
- Total magnetization: 9.013 μB/f.u.
- DOS(E_F): 1.774 states/eV/atom
- Symmetry: C2/m
- Formation energy from raw total energies: -1.2342 eV per atom

Structure (POSCAR):
```
Na3ZrNp2Se6
1.0
3.526 -6.110 0.000
3.526 6.110 0.000
-2.355 0.000 7.059
Na Zr Np Se
3 1 2 6
direct
0.000 0.000 0.000
0.332 0.668 0.000
0.668 0.332 0.000
0.500 0.500 0.500
0.167 0.833 0.500
0.833 0.167 0.500
0.102 0.423 0.269
0.256 0.256 0.730
0.423 0.102 0.269
0.577 0.898 0.731
0.744 0.744 0.270
0.898 0.577 0.731
```

No. 8
## Na3Zr2NpSe6 (PBE-GGA)

Data for a geometry-optimized Na3Zr2NpSe6 structure.

Computed properties:
- Total magnetization: 0.211 μB/f.u.
- DOS(E_F): 1.058 states/eV/atom
- Symmetry: C2/m
- Formation energy from raw total energies: -1.1722 eV per atom

Structure (POSCAR):
```
Na3Zr2NpSe6
1.0
3.373 -5.874 0.000
3.373 5.874 0.000
-2.276 0.000 7.189
Na Zr Np Se
3 2 1 6
direct
0.000 0.000 0.000
0.336 0.664 0.000
0.664 0.336 0.000
0.169 0.831 0.500
0.831 0.169 0.500
0.500 0.500 0.500
0.083 0.423 0.270
0.234 0.234 0.727
0.423 0.083 0.270
0.577 0.917 0.730
0.766 0.766 0.273
0.917 0.577 0.730
```

No. 9
## Na3ZrNp3Se8 (PBE-GGA)

Data for a geometry-optimized Na3ZrNp3Se8 structure.

Computed properties:
- Total magnetization: 12.001 μB/f.u.
- DOS(E_F): 1.988 states/eV/atom
- Symmetry: R-3m
- Formation energy from raw total energies: -1.2316 eV per atom

Structure (POSCAR):
```
Na3ZrNp3Se8
1.0
4.105 2.370 7.066
-4.105 2.370 7.066
0.000 -4.740 7.066
Na Zr Np Se
3 1 3 8
direct
0.000 0.500 0.500
0.500 0.000 0.500
0.500 0.500 0.000
0.500 0.500 0.500
0.000 0.000 0.500
0.000 0.500 0.000
0.500 0.000 0.000
0.244 0.244 0.244
0.255 0.734 0.734
0.266 0.266 0.745
0.266 0.745 0.266
0.734 0.255 0.734
0.734 0.734 0.255
0.745 0.266 0.266
0.756 0.756 0.756
```

No. 10
## NaNpSi4 (PBE-GGA)

Data for a geometry-optimized NaNpSi4 structure.

Computed properties:
- Total magnetization: 3.987 μB/f.u.
- DOS(E_F): 1.896 states/eV/atom
- Symmetry: F-43m
- Formation energy from raw total energies: 0.0047 eV per atom

Structure (POSCAR):
```
NaNpSi4
1.0
0.000 3.707 3.707
3.707 0.000 3.707
3.707 3.707 0.000
Na Np Si
1 1 4
direct
0.000 0.000 0.000
0.250 0.250 0.250
0.124 0.625 0.625
0.625 0.124 0.625
0.625 0.625 0.124
0.625 0.625 0.625
```

No. 11
## Na2SmNpTe4 (PBE-GGA)

Data for a geometry-optimized Na2SmNpTe4 structure.

Computed properties:
- Total magnetization: 4.000 μB/f.u.
- DOS(E_F): 0.922 states/eV/atom
- Symmetry: P2/m
- Formation energy from raw total energies: -1.0623 eV per atom

Structure (POSCAR):
```
Na2SmNpTe4
1.0
7.815 0.000 0.000
0.000 4.499 0.000
-2.612 0.000 7.519
Na Sm Np Te
2 1 1 4
direct
0.000 0.000 0.000
0.500 0.500 0.000
0.000 0.500 0.500
0.500 0.000 0.500
0.246 0.000 0.737
0.256 0.500 0.265
0.744 0.500 0.735
0.754 0.000 0.263
```